This record from the Alexandria database describes an optimized crystal structure of LaMgCo. The functional is PBE.

Results
total moment = 0.00 μB per cell
crystal system = cubic
SG = No. 216
formation enthalpy at 0 K = 0.83 eV/atom

a b c (Å): 4.844 4.844 4.844
angles (deg): 60.00 60.00 60.00
Fractional positions:
Co 0.500 0.500 0.500
La 0.750 0.750 0.750
Mg 0.000 0.000 0.000

This record from the Alexandria database describes an optimized crystal structure of LaMgCo. The functional is PBE.

Results
total moment = 0.01 μB per cell
crystal system = orthorhombic
SG = No. 63
formation enthalpy at 0 K = -0.10 eV/atom

a b c (Å): 3.908 4.007 9.034
angles (deg): 102.81 90.00 90.00
Fractional positions:
La 0.250 0.910 0.819
La 0.750 0.090 0.181
Mg 0.750 0.295 0.591
Mg 0.250 0.705 0.409
Co 0.250 0.540 0.080
Co 0.750 0.460 0.920

This record from the Alexandria database describes an optimized crystal structure of La2Mg2Co. The functional is PBE.

Results
total moment = 1.98 μB per cell
crystal system = tetragonal
SG = No. 127
distance to the lowest polymorph of the same formula = 316 meV/atom
formation enthalpy at 0 K = 0.21 eV/atom

a b c (Å): 6.877 6.877 5.439
angles (deg): 90.00 90.00 90.00
Each line ends with the local moment (μB).
Fractional positions:
Mg 0.349 0.849 0.000  -0.01
Mg 0.849 0.651 0.000  -0.01
Mg 0.651 0.151 0.000  -0.01
Mg 0.151 0.349 0.000  -0.01
Co 0.000 0.000 0.000  1.13
Co 0.500 0.500 0.000  1.17
La 0.173 0.673 0.500  -0.01
La 0.673 0.827 0.500  -0.01
La 0.827 0.327 0.500  -0.01
La 0.327 0.173 0.500  -0.01

> Number 3 is which compound?

La2Mg2Co

> What is the formula in the first record?

LaMgCo

> total moment of number 2 (LaMgCo)?

0.01 μB per cell

> Which of these has the highest formation enthalpy at 0 K?

number 1